Pa3Sn5O12 | Alexandria via LeMat-Bulk | PBE | relaxed; theoretical density = 6.97 Mg/m³; formation energy without anion corrections = -39.183 eV per formula unit
1.0
-7.063 7.063 7.063
7.063 -7.063 7.063
7.063 7.063 -7.063
Pa Sn O
12 20 48
Cartesian
3.531 1.766 0.000 Pa
7.063 3.531 -1.766 Pa
1.766 0.000 3.531 Pa
8.828 0.000 3.531 Pa
0.000 3.531 1.766 Pa
3.531 -1.766 7.063 Pa
3.531 8.828 0.000 Pa
7.063 3.531 5.297 Pa
-1.766 7.063 3.531 Pa
5.297 7.063 3.531 Pa
0.000 3.531 8.828 Pa
3.531 5.297 7.063 Pa
0.000 0.000 0.000 Sn
3.531 3.531 -3.531 Sn
3.531 -3.531 3.531 Sn
7.063 0.000 0.000 Sn
10.594 1.766 0.000 Sn
7.063 -3.531 5.297 Sn
5.297 7.063 -3.531 Sn
5.297 0.000 3.531 Sn
3.531 5.297 0.000 Sn
7.063 3.531 1.766 Sn
-3.531 3.531 3.531 Sn
0.000 7.063 0.000 Sn
0.000 0.000 7.063 Sn
3.531 3.531 3.531 Sn
0.000 3.531 5.297 Sn
3.531 1.766 7.063 Sn
1.766 7.063 3.531 Sn
1.766 0.000 10.594 Sn
0.000 10.594 1.766 Sn
-3.531 5.297 7.063 Sn
9.405 -0.102 0.666 O
8.252 -2.866 3.429 O
2.342 0.102 0.666 O
8.252 4.197 -3.429 O
7.165 -0.666 2.342 O
10.492 -1.189 2.866 O
4.197 3.429 -1.189 O
6.397 2.342 -0.102 O
0.666 2.342 0.102 O
9.928 3.634 -1.189 O
0.102 0.666 2.342 O
3.429 -1.189 4.197 O
7.165 6.397 -2.342 O
3.429 1.189 2.866 O
2.866 3.429 1.189 O
7.728 4.721 -0.102 O
4.197 -3.429 8.252 O
6.397 -2.342 7.165 O
3.429 8.252 -2.866 O
7.165 0.666 4.721 O
1.189 2.866 3.429 O
2.342 -0.102 6.397 O
2.342 7.165 -0.666 O
8.252 2.866 3.634 O
-1.189 4.197 3.429 O
4.721 -0.102 7.728 O
4.721 7.165 0.666 O
5.873 4.197 3.634 O
-0.102 6.397 2.342 O
3.634 -1.189 9.928 O
0.666 9.405 -0.102 O
2.866 10.492 -1.189 O
-0.666 2.342 7.165 O
4.197 3.634 5.873 O
3.634 5.873 4.197 O
-0.102 0.666 9.405 O
3.634 8.252 2.866 O
6.960 6.397 4.721 O
-2.866 3.429 8.252 O
6.397 4.721 6.960 O
0.666 4.721 7.165 O
2.866 3.634 8.252 O
-3.429 8.252 4.197 O
-0.102 7.728 4.721 O
-1.189 2.866 10.492 O
4.721 6.960 6.397 O
-1.189 9.928 3.634 O
-2.342 7.165 6.397 O